Compound: ScGa3C
Source: Alexandria via LeMat-Bulk
Functional: PBE
Structure: relaxed

a b c (Å): 4.379 4.379 4.379
angles (deg): 90.00 90.00 90.00
Sites, in units of the cell vectors:
Sc1 0.500 0.500 0.500
C1 0.000 0.000 0.000
Ga1 0.000 0.500 0.000
Ga2 0.000 0.000 0.500
Ga3 0.500 0.000 0.000

Calculated volume (Å³/atom): 16.8
Crystal system: cubic
VASP energy (eV per formula unit): -22.0
Energy above the lowest structure with this stoichiometry (meV per atom): 0.0
Energy relative to the elements (eV/atom): 0.54

Compound: Ac2In3
Source: Alexandria via LeMat-Bulk
Functional: PBE
Structure: relaxed

a b c (Å): 6.597 6.597 8.764
angles (deg): 90.00 90.00 59.59
Sites, in units of the cell vectors:
Ac1 0.153 0.153 0.601
Ac2 0.847 0.847 0.399
Ac3 0.347 0.347 0.101
Ac4 0.653 0.653 0.899
In1 0.500 0.500 0.500
In2 0.000 0.000 0.000
In3 0.642 0.142 0.750
In4 0.858 0.358 0.250
In5 0.142 0.642 0.750
In6 0.358 0.858 0.250

Calculated volume (Å³/atom): 32.9
Crystal system: orthorhombic
VASP energy (eV per formula unit): -18.5
Energy above the lowest structure with this stoichiometry (meV per atom): 0.0
Energy relative to the elements (eV/atom): -0.42

Compound: LaDy3Y6Th2
Source: Alexandria via LeMat-Bulk
Functional: PBE
Structure: relaxed

a b c (Å): 6.220 6.220 11.784
angles (deg): 95.06 95.06 119.97
Sites, in units of the cell vectors:
La1 0.000 0.000 0.000
Dy1 0.167 0.833 0.500
Dy2 0.833 0.167 0.500
Dy3 0.500 0.500 0.500
Y1 0.916 0.578 0.751
Y2 0.745 0.745 0.249
Y3 0.084 0.422 0.249
Y4 0.578 0.916 0.751
Y5 0.255 0.255 0.751
Y6 0.422 0.084 0.249
Th1 0.333 0.667 0.000
Th2 0.667 0.333 0.000

Calculated volume (Å³/atom): 32.4
Crystal system: monoclinic
VASP energy (eV per formula unit): -72.0
Energy relative to the elements (eV/atom): 0.03

Compound: NpTc2C
Source: Alexandria via LeMat-Bulk
Functional: PBE
Structure: relaxed

a b c (Å): 3.022 5.254 7.440
angles (deg): 90.00 90.00 106.70
Each line ends with the local moment (μB).
Sites, in units of the cell vectors:
Np1 0.939 0.878 0.250  2.86
Np2 0.061 0.122 0.750  2.86
Tc1 0.349 0.698 0.559  -0.21
Tc2 0.651 0.302 0.441  -0.21
Tc3 0.349 0.698 0.941  -0.21
Tc4 0.651 0.302 0.059  -0.21
C1 0.780 0.560 0.750  -0.01
C2 0.220 0.440 0.250  -0.01

Calculated volume (Å³/atom): 14.1
Crystal system: orthorhombic
VASP energy (eV per formula unit): -41.9
Energy above the lowest structure with this stoichiometry (meV per atom): 0.0
Energy relative to the elements (eV/atom): 0.25

Compound: NbSb3O8
Source: Alexandria via LeMat-Bulk
Functional: PBE
Structure: relaxed

a b c (Å): 4.971 5.606 23.930
angles (deg): 90.03 90.02 90.14
Sites, in units of the cell vectors:
Nb1 0.003 0.136 0.036
Nb2 0.490 0.385 0.286
Nb3 0.999 0.866 0.786
Nb4 0.005 0.885 0.286
Sb1 0.546 0.016 0.660
Sb2 0.548 0.025 0.161
Sb3 0.999 0.134 0.536
Sb4 0.494 0.366 0.784
Sb5 0.049 0.478 0.910
Sb6 0.044 0.483 0.411
Sb7 0.957 0.524 0.661
Sb8 0.947 0.524 0.160
Sb9 0.500 0.634 0.536
Sb10 0.507 0.636 0.034
Sb11 0.456 0.984 0.911
Sb12 0.454 0.984 0.411
O1 0.288 0.081 0.756
O2 0.291 0.071 0.257
O3 0.775 0.130 0.809
O4 0.771 0.121 0.311
O5 0.160 0.157 0.457
O6 0.166 0.159 0.955
O7 0.840 0.180 0.612
O8 0.837 0.183 0.112
O9 0.339 0.318 0.861
O10 0.328 0.315 0.362
O11 0.666 0.342 0.705
O12 0.668 0.342 0.207
O13 0.284 0.361 0.564
O14 0.281 0.371 0.061
O15 0.788 0.420 0.005
O16 0.790 0.417 0.505
O17 0.215 0.583 0.754
O18 0.207 0.572 0.257
O19 0.727 0.621 0.311
O20 0.724 0.628 0.811
O21 0.339 0.658 0.956
O22 0.339 0.656 0.457
O23 0.660 0.681 0.612
O24 0.659 0.685 0.112
O25 0.168 0.820 0.862
O26 0.169 0.816 0.362
O27 0.833 0.841 0.706
O28 0.829 0.842 0.207
O29 0.217 0.861 0.564
O30 0.223 0.870 0.058
O31 0.710 0.917 0.505
O32 0.710 0.923 0.007

Calculated volume (Å³/atom): 13.9
Crystal system: triclinic
VASP energy (eV per formula unit): -82.7
Formation energy without anion corrections (eV/atom): -1.71

Compound: FeCoRh2
Source: Alexandria via LeMat-Bulk
Functional: PBE
Structure: relaxed

a b c (Å): 4.512 4.512 2.673
angles (deg): 90.00 90.00 107.52
Each line ends with the local moment (μB).
Sites, in units of the cell vectors:
Co1 0.500 0.000 0.500  1.67
Fe1 0.000 0.500 0.500  2.75
Rh1 0.000 0.000 0.000  0.39
Rh2 0.500 0.500 0.000  0.39

Calculated volume (Å³/atom): 13.0
Crystal system: orthorhombic
VASP energy (eV per formula unit): -30.2
Energy relative to the elements (eV/atom): 0.02

Compound: CePrGa2Pd5
Source: Alexandria via LeMat-Bulk
Functional: PBE
Structure: relaxed

a b c (Å): 4.339 4.339 9.171
angles (deg): 90.00 90.00 90.00
Each line ends with the local moment (μB).
Sites, in units of the cell vectors:
Ce1 0.000 0.000 0.000  0.74
Pr1 0.000 0.000 0.500  -0.01
Ga1 0.500 0.500 0.139  0.00
Ga2 0.500 0.500 0.861  0.00
Pd1 0.000 0.500 0.273  0.00
Pd2 0.500 0.000 0.273  0.00
Pd3 0.000 0.500 0.727  0.00
Pd4 0.500 0.000 0.727  0.00
Pd5 0.500 0.500 0.500  -0.01

Calculated volume (Å³/atom): 19.2
Crystal system: tetragonal
VASP energy (eV per formula unit): -49.3
Energy relative to the elements (eV/atom): -0.73

Compound: TlPbAu
Source: Alexandria via LeMat-Bulk
Functional: PBE
Structure: relaxed

a b c (Å): 5.784 4.498 6.610
angles (deg): 90.00 94.90 90.00
Sites, in units of the cell vectors:
Tl1 0.864 0.250 0.840
Tl2 0.136 0.750 0.160
Pb1 0.608 0.250 0.291
Pb2 0.392 0.750 0.709
Au1 0.164 0.250 0.486
Au2 0.836 0.750 0.514

Calculated volume (Å³/atom): 28.6
Crystal system: monoclinic
VASP energy (eV per formula unit): -9.5
Energy relative to the elements (eV/atom): -0.05

Compound: SmU3P4
Source: Alexandria via LeMat-Bulk
Functional: PBE
Structure: relaxed

a b c (Å): 3.949 6.907 6.907
angles (deg): 70.89 90.00 90.00
Each line ends with the local moment (μB).
Sites, in units of the cell vectors:
P1 0.000 0.758 0.742  -0.06
P2 0.500 0.754 0.253  -0.07
P3 0.000 0.242 0.258  -0.06
P4 0.500 0.247 0.746  -0.07
U1 0.500 0.000 0.500  1.93
U2 0.000 0.000 0.000  2.04
U3 0.000 0.500 0.500  2.04
Sm1 0.500 0.500 0.000  0.00

Calculated volume (Å³/atom): 22.2
Crystal system: orthorhombic
VASP energy (eV per formula unit): -69.1
Energy relative to the elements (eV/atom): -1.11

Compound: La2MgBrF
Source: Alexandria via LeMat-Bulk
Functional: PBE
Structure: relaxed

a b c (Å): 5.688 5.175 5.688
angles (deg): 90.00 90.00 90.00
Sites, in units of the cell vectors:
Mg1 0.500 0.500 0.500
F1 0.000 0.500 0.000
Br1 0.000 0.000 0.000
La1 0.000 0.000 0.500
La2 0.500 0.000 0.000

Calculated volume (Å³/atom): 33.5
Crystal system: tetragonal
VASP energy (eV per formula unit): -18.2
Formation energy without anion corrections (eV/atom): -0.64

Compound: LiPr2SnSe5
Source: Alexandria via LeMat-Bulk
Functional: PBE
Structure: relaxed

a b c (Å): 4.176 9.380 12.065
angles (deg): 90.00 90.00 102.86
Sites, in units of the cell vectors:
Li1 0.773 0.546 0.507
Li2 0.227 0.454 0.007
Pr1 0.879 0.757 0.802
Pr2 0.128 0.256 0.681
Pr3 0.121 0.243 0.302
Pr4 0.872 0.744 0.181
Sn1 0.587 0.174 0.980
Sn2 0.413 0.826 0.480
Se1 0.363 0.726 0.994
Se2 0.704 0.409 0.831
Se3 0.512 0.025 0.784
Se4 0.303 0.605 0.654
Se5 0.971 0.942 0.590
Se6 0.637 0.274 0.494
Se7 0.296 0.591 0.331
Se8 0.488 0.975 0.284
Se9 0.697 0.395 0.154
Se10 0.029 0.058 0.090

Calculated volume (Å³/atom): 25.6
Crystal system: orthorhombic
VASP energy (eV per formula unit): -44.7
Formation energy without anion corrections (eV/atom): -1.31

Compound: TcGe6Ru3
Source: Alexandria via LeMat-Bulk
Functional: PBE
Structure: relaxed

a b c (Å): 6.327 6.722 7.766
angles (deg): 90.00 90.36 90.00
Sites, in units of the cell vectors:
Tc1 0.500 0.500 0.500
Tc2 0.000 0.000 0.000
Ge1 0.638 0.160 0.946
Ge2 0.639 0.158 0.555
Ge3 0.725 0.531 0.251
Ge4 0.275 0.469 0.749
Ge5 0.361 0.842 0.445
Ge6 0.362 0.840 0.054
Ge7 0.138 0.340 0.446
Ge8 0.139 0.342 0.055
Ge9 0.225 0.969 0.751
Ge10 0.775 0.031 0.249
Ge11 0.861 0.658 0.945
Ge12 0.862 0.660 0.554
Ru1 0.603 0.863 0.749
Ru2 0.500 0.500 0.000
Ru3 0.397 0.137 0.251
Ru4 0.103 0.637 0.249
Ru5 0.000 0.000 0.500
Ru6 0.897 0.363 0.751

Calculated volume (Å³/atom): 16.5
Crystal system: monoclinic
VASP energy (eV per formula unit): -66.0
Energy relative to the elements (eV/atom): -0.01